1.
{
  "formula": "Cd5H2Se4Cl2O13",
  "functional": "PBE",
  "state": "relaxed",
  "lattice_angstrom": [[8.6403, 0.0000, 0.0000], [0.0000, 17.5045, 0.0000], [-0.0399, 0.0000, 10.5917]],
  "species": ["Cd", "Cd", "Cd", "Cd", "Cd", "Cd", "Cd", "Cd", "Cd", "Cd", "Cd", "Cd", "Cd", "Cd", "Cd", "Cd", "Cd", "Cd", "Cd", "Cd", "H", "H", "H", "H", "H", "H", "H", "H", "Se", "Se", "Se", "Se", "Se", "Se", "Se", "Se", "Se", "Se", "Se", "Se", "Se", "Se", "Se", "Se", "Cl", "Cl", "Cl", "Cl", "Cl", "Cl", "Cl", "Cl", "O", "O", "O", "O", "O", "O", "O", "O", "O", "O", "O", "O", "O", "O", "O", "O", "O", "O", "O", "O", "O", "O", "O", "O", "O", "O", "O", "O", "O", "O", "O", "O", "O", "O", "O", "O", "O", "O", "O", "O", "O", "O", "O", "O", "O", "O", "O", "O", "O", "O", "O", "O"],
  "frac_coords": [[0.0919, 0.0000, 0.4253], [0.0933, 0.0136, 0.8895], [0.1533, 0.8222, 0.1325], [0.2362, 0.4861, 0.8615], [0.2488, 0.6399, 0.6211], [0.2590, 0.4675, 0.3717], [0.2626, 0.6359, 0.1191], [0.3535, 0.2995, 0.8844], [0.4048, 0.1037, 0.6375], [0.4052, 0.1139, 0.1714], [0.5952, 0.6037, 0.3625], [0.5948, 0.6139, 0.8286], [0.6465, 0.7995, 0.1156], [0.7374, 0.1359, 0.8809], [0.7410, 0.9675, 0.6283], [0.7512, 0.1399, 0.3789], [0.7638, 0.9861, 0.1385], [0.8467, 0.3222, 0.8675], [0.9067, 0.5136, 0.1105], [0.9081, 0.5000, 0.5747], [0.1623, 0.2086, 0.3401], [0.1663, 0.8690, 0.5920], [0.3238, 0.2478, 0.3191], [0.3345, 0.9028, 0.5980], [0.6655, 0.4028, 0.4020], [0.6762, 0.7478, 0.6809], [0.8337, 0.3690, 0.4080], [0.8377, 0.7086, 0.6599], [0.0081, 0.6354, 0.3766], [0.0167, 0.1199, 0.1305], [0.1019, 0.3631, 0.1123], [0.1066, 0.3499, 0.6338], [0.3856, 0.7638, 0.8813], [0.4087, 0.7567, 0.3695], [0.4827, 0.9788, 0.3730], [0.4959, 0.9981, 0.8813], [0.5041, 0.4981, 0.1187], [0.5173, 0.4788, 0.6270], [0.5913, 0.2567, 0.6305], [0.6144, 0.2638, 0.1187], [0.8934, 0.8499, 0.3662], [0.8981, 0.8631, 0.8877], [0.9833, 0.6199, 0.8695], [0.9919, 0.1354, 0.6234], [0.0619, 0.7565, 0.6186], [0.0932, 0.2305, 0.8922], [0.4104, 0.8965, 0.1169], [0.4411, 0.3497, 0.3472], [0.5589, 0.8497, 0.6528], [0.5896, 0.3965, 0.8831], [0.9068, 0.7305, 0.1078], [0.9381, 0.2565, 0.3814], [0.0439, 0.5932, 0.2339], [0.0487, 0.5680, 0.7394], [0.0564, 0.8867, 0.2942], [0.0584, 0.8945, 0.9738], [0.0823, 0.4334, 0.2237], [0.1026, 0.5717, 0.9788], [0.1044, 0.4182, 0.5176], [0.1264, 0.5755, 0.4679], [0.1630, 0.0947, 0.5713], [0.1830, 0.0748, 0.0827], [0.2268, 0.9156, 0.5750], [0.2425, 0.7344, 0.9865], [0.2532, 0.7299, 0.2739], [0.2544, 0.3827, 0.7321], [0.2540, 0.3969, 0.0196], [0.2667, 0.1993, 0.3059], [0.3171, 0.0275, 0.3334], [0.3280, 0.0403, 0.8242], [0.3863, 0.5442, 0.2306], [0.3860, 0.6885, 0.7774], [0.3943, 0.5381, 0.7156], [0.4232, 0.6821, 0.4738], [0.4362, 0.2257, 0.7217], [0.4444, 0.5553, 0.9938], [0.4461, 0.2329, 0.0463], [0.4766, 0.5132, 0.4783], [0.5234, 0.0132, 0.5217], [0.5539, 0.7329, 0.9537], [0.5556, 0.0553, 0.0062], [0.5638, 0.7257, 0.2783], [0.5768, 0.1821, 0.5262], [0.6057, 0.0381, 0.2844], [0.6137, 0.0442, 0.7694], [0.6140, 0.1885, 0.2226], [0.6720, 0.5403, 0.1758], [0.6829, 0.5275, 0.6666], [0.7333, 0.6993, 0.6941], [0.7456, 0.8827, 0.2679], [0.7460, 0.8969, 0.9804], [0.7468, 0.2299, 0.7261], [0.7575, 0.2344, 0.0135], [0.7732, 0.4156, 0.4250], [0.8170, 0.5748, 0.9173], [0.8370, 0.5947, 0.4287], [0.8736, 0.0755, 0.5321], [0.8956, 0.9182, 0.4824], [0.8974, 0.0717, 0.0212], [0.9177, 0.9334, 0.7763], [0.9416, 0.3945, 0.0262], [0.9436, 0.3867, 0.7058], [0.9513, 0.0680, 0.2606], [0.9561, 0.0932, 0.7661]],
  "e_tot_ev_per_cell": -477.63
}


2.
{
  "formula": "SmCdH2Cl2O2",
  "functional": "PBE",
  "state": "relaxed",
  "lattice_angstrom": [[3.9535, 0.0000, 0.0000], [-1.9767, 3.4238, 0.0000], [0.0000, 0.0000, 10.0714]],
  "species": ["Sm", "Cd", "H", "H", "Cl", "Cl", "O", "O"],
  "frac_coords": [[0.0000, 0.0000, 0.0000], [0.3333, 0.6667, 0.4848], [0.6667, 0.3333, 0.1570], [0.6667, 0.3333, 0.6365], [0.0000, 0.0000, 0.2685], [0.3333, 0.6667, 0.8262], [0.6667, 0.3333, 0.0589], [0.6667, 0.3333, 0.5386]],
  "e_tot_ev_per_cell": -37.87
}


3.
{
  "formula": "SrCdH2Cl2O2",
  "functional": "PBE",
  "state": "relaxed",
  "lattice_angstrom": [[3.8816, 0.0000, 0.0000], [-1.9408, 3.3615, 0.0000], [0.0000, 0.0000, 10.1557]],
  "species": ["Sr", "Cd", "H", "H", "Cl", "Cl", "O", "O"],
  "frac_coords": [[0.0000, 0.0000, 0.0000], [0.3333, 0.6667, 0.4988], [0.6667, 0.3333, 0.1818], [0.6667, 0.3333, 0.6613], [0.0000, 0.0000, 0.3336], [0.3333, 0.6667, 0.8105], [0.6667, 0.3333, 0.0853], [0.6667, 0.3333, 0.5646]],
  "e_tot_ev_per_cell": -35.60
}


4.
{
  "formula": "TmCdH2Cl2O2",
  "functional": "PBE",
  "state": "relaxed",
  "lattice_angstrom": [[3.8501, 0.0000, 0.0000], [-1.9250, 3.3343, 0.0000], [0.0000, 0.0000, 10.4229]],
  "species": ["Tm", "Cd", "H", "H", "Cl", "Cl", "O", "O"],
  "frac_coords": [[0.0000, 0.0000, 0.0000], [0.3333, 0.6667, 0.4845], [0.6667, 0.3333, 0.1413], [0.6667, 0.3333, 0.6429], [0.0000, 0.0000, 0.2452], [0.3333, 0.6667, 0.8395], [0.6667, 0.3333, 0.0458], [0.6667, 0.3333, 0.5486]],
  "e_tot_ev_per_cell": -37.76
}


5.
{
  "formula": "CdHSCl",
  "functional": "PBE",
  "state": "relaxed",
  "lattice_angstrom": [[4.0766, 0.0000, 0.0000], [-2.0383, 3.5305, 0.0000], [0.0000, 0.0000, 11.2726]],
  "species": ["Cd", "Cd", "H", "H", "S", "S", "Cl", "Cl"],
  "frac_coords": [[0.3333, 0.6667, 0.0000], [0.6667, 0.3333, 0.5000], [0.0000, 0.0000, 0.2168], [0.0000, 0.0000, 0.7168], [0.0000, 0.0000, 0.0962], [0.0000, 0.0000, 0.5962], [0.3333, 0.6667, 0.3614], [0.6667, 0.3333, 0.8614]],
  "e_tot_ev_per_cell": -25.17
}


6.
{
  "formula": "CdHgCl4",
  "functional": "PBE",
  "state": "relaxed",
  "lattice_angstrom": [[4.0846, 0.0000, 0.0000], [0.0000, 4.0846, 0.0000], [0.0000, 0.0000, 11.2084]],
  "species": ["Cd", "Hg", "Cl", "Cl", "Cl", "Cl"],
  "frac_coords": [[0.0000, 0.0000, 0.0000], [0.5000, 0.5000, 0.5000], [0.0000, 0.5000, 0.1298], [0.0000, 0.5000, 0.6358], [0.5000, 0.0000, 0.3642], [0.5000, 0.0000, 0.8702]],
  "e_tot_ev_per_cell": -13.40
}


7.
{
  "formula": "Rb2CdHgCl6",
  "functional": "PBE",
  "state": "relaxed",
  "lattice_angstrom": [[0.0000, 5.2825, 5.2825], [5.2825, 0.0000, 5.2825], [5.2825, 5.2825, 0.0000]],
  "species": ["Rb", "Rb", "Cd", "Hg", "Cl", "Cl", "Cl", "Cl", "Cl", "Cl"],
  "frac_coords": [[0.2500, 0.2500, 0.2500], [0.7500, 0.7500, 0.7500], [0.0000, 0.0000, 0.0000], [0.5000, 0.5000, 0.5000], [0.2479, 0.2479, 0.7521], [0.2479, 0.7521, 0.2479], [0.2479, 0.7521, 0.7521], [0.7521, 0.2479, 0.2479], [0.7521, 0.2479, 0.7521], [0.7521, 0.7521, 0.2479]],
  "e_tot_ev_per_cell": -26.99
}


8.
{
  "formula": "CdPb2IClO2",
  "functional": "PBE",
  "state": "relaxed",
  "lattice_angstrom": [[6.2535, -1.9883, 0.0000], [6.2535, 1.9883, 0.0000], [-4.2296, 0.0000, 6.9313]],
  "species": ["Cd", "Pb", "Pb", "I", "Cl", "O", "O"],
  "frac_coords": [[0.0000, 0.0000, 0.0000], [0.1884, 0.1884, 0.7598], [0.8019, 0.8019, 0.2014], [0.4270, 0.4270, 0.6576], [0.5530, 0.5530, 0.2663], [0.1881, 0.1881, 0.0482], [0.8041, 0.8041, 0.9195]],
  "e_tot_ev_per_cell": -29.00
}